1.
# Ac2PuPb, relaxed, DFT PBE
# Offset from the most stable computed form in eV/atom: 0.0000
# Calculated volume in Å³/atom: 35.04
# ΔE_f in eV/atom: -0.116
data_Ac2PuPb
_cell_length_a 5.3530
_cell_length_b 5.3530
_cell_length_c 4.8918
_cell_angle_alpha 90.00
_cell_angle_beta 90.00
_cell_angle_gamma 90.00
_symmetry_space_group_name_H-M 'P 1'
_symmetry_Int_Tables_number 1
loop_
_symmetry_equiv_pos_as_xyz
'x,y,z'
loop_
_atom_site_label
_atom_site_fract_x
_atom_site_fract_y
_atom_site_fract_z
Ac1 0.0000 0.5000 0.0000
Ac2 0.5000 0.0000 0.0000
Pu1 0.0000 0.0000 0.5000
Pb1 0.5000 0.5000 0.5000

2.
# Zn9GaAg2, relaxed, DFT PBE
# Calculated volume in Å³/atom: 15.68
# ΔE_f in eV/atom: 0.024
data_Zn9GaAg2
_cell_length_a 3.9578
_cell_length_b 3.9578
_cell_length_c 12.0155
_cell_angle_alpha 90.00
_cell_angle_beta 90.00
_cell_angle_gamma 90.00
_symmetry_space_group_name_H-M 'P 1'
_symmetry_Int_Tables_number 1
loop_
_symmetry_equiv_pos_as_xyz
'x,y,z'
loop_
_atom_site_label
_atom_site_fract_x
_atom_site_fract_y
_atom_site_fract_z
Zn1 0.0000 0.0000 0.0000
Zn2 0.0000 0.0000 0.3360
Zn3 0.0000 0.0000 0.6640
Zn4 0.0000 0.5000 0.1650
Zn5 0.0000 0.5000 0.5000
Zn6 0.0000 0.5000 0.8350
Zn7 0.5000 0.0000 0.1650
Zn8 0.5000 0.0000 0.5000
Zn9 0.5000 0.0000 0.8350
Ga1 0.5000 0.5000 0.0000
Ag1 0.5000 0.5000 0.3310
Ag2 0.5000 0.5000 0.6690

3.
# PCl2, relaxed, DFT PBE
# Calculated volume in Å³/atom: 22.81
# Formation energy (no corrections) in meV/atom: 448
data_PCl2
_cell_length_a 7.3949
_cell_length_b 7.3949
_cell_length_c 7.3949
_cell_angle_alpha 155.69
_cell_angle_beta 155.69
_cell_angle_gamma 34.64
_symmetry_space_group_name_H-M 'P 1'
_symmetry_Int_Tables_number 1
loop_
_symmetry_equiv_pos_as_xyz
'x,y,z'
loop_
_atom_site_label
_atom_site_fract_x
_atom_site_fract_y
_atom_site_fract_z
P1 0.0000 0.0000 0.0000
Cl1 0.3848 0.3848 0.0000
Cl2 0.6152 0.6152 0.0000

> Which value of calculated volume does entry 2 give?

15.68 Å³/atom

Copy entry 1 word for word.
# Ac2PuPb, relaxed, DFT PBE
# Offset from the most stable computed form in eV/atom: 0.0000
# Calculated volume in Å³/atom: 35.04
# ΔE_f in eV/atom: -0.116
data_Ac2PuPb
_cell_length_a 5.3530
_cell_length_b 5.3530
_cell_length_c 4.8918
_cell_angle_alpha 90.00
_cell_angle_beta 90.00
_cell_angle_gamma 90.00
_symmetry_space_group_name_H-M 'P 1'
_symmetry_Int_Tables_number 1
loop_
_symmetry_equiv_pos_as_xyz
'x,y,z'
loop_
_atom_site_label
_atom_site_fract_x
_atom_site_fract_y
_atom_site_fract_z
Ac1 0.0000 0.5000 0.0000
Ac2 0.5000 0.0000 0.0000
Pu1 0.0000 0.0000 0.5000
Pb1 0.5000 0.5000 0.5000